VASP calculation (PBE-GGA) on an optimized crystal structure of Li2CoTc.

Calculated values
**Energy above the most stable polymorph in this dataset**: 4.6 kJ per mole of atoms
**Energy relative to the elements**: 0.22 eV per atom
**Density of states at the Fermi level**: 0.97 states/eV per atom

Cell and atoms, written as CIF:
```
data_Li2CoTc
_cell_length_a 9.7205
_cell_length_b 2.5869
_cell_length_c 4.2742
_cell_angle_alpha 90.00
_cell_angle_beta 108.92
_cell_angle_gamma 90.00
_space_group_name_H-M_alt 'C 1 2/m 1'
_space_group_IT_number 12
loop_
_space_group_symop_operation_xyz
'x,y,z'
'-x,-y,-z'
'-x,y,-z'
'x,-y,z'
'x+1/2,y+1/2,z'
'-x+1/2,-y+1/2,-z'
'-x+1/2,y+1/2,-z'
'x+1/2,-y+1/2,z'
loop_
_atom_site_label
_atom_site_fract_x
_atom_site_fract_y
_atom_site_fract_z
_atom_site_occupancy
Li1 0.2361 0.0000 0.2385 1
Co1 0.0000 0.5000 0.0000 1
Tc1 0.0000 0.0000 0.5000 1
```

VASP calculation (PBE-GGA) on an optimized crystal structure of LiCo2Tc.

Calculated values
**Energy above the most stable polymorph in this dataset**: 6.5 kJ per mole of atoms
**Energy relative to the elements**: 0.25 eV per atom
**Density of states at the Fermi level**: 1.27 states/eV per atom

Cell and atoms, written as CIF:
```
data_LiCo2Tc
_cell_length_a 2.5142
_cell_length_b 3.7993
_cell_length_c 5.0103
_cell_angle_alpha 90.00
_cell_angle_beta 90.00
_cell_angle_gamma 90.00
_space_group_name_H-M_alt 'P m m 2'
_space_group_IT_number 25
loop_
_space_group_symop_operation_xyz
'x,y,z'
'-x,-y,z'
'-x,y,z'
'x,-y,z'
loop_
_atom_site_label
_atom_site_fract_x
_atom_site_fract_y
_atom_site_fract_z
_atom_site_occupancy
Li1 0.0000 0.0000 0.0000 1
Co1 0.0000 0.0000 0.5126 1
Co2 0.5000 0.5000 0.7875 1
Tc1 0.5000 0.5000 0.2917 1
```

VASP calculation (PBE-GGA) on an optimized crystal structure of LiCo2Tc.

Calculated values
**Energy above the most stable polymorph in this dataset**: 16.8 kJ per mole of atoms
**Energy relative to the elements**: 0.35 eV per atom
**Density of states at the Fermi level**: 1.08 states/eV per atom

Cell and atoms, written as CIF:
```
data_LiCo2Tc
_cell_length_a 2.5759
_cell_length_b 4.2852
_cell_length_c 4.3441
_cell_angle_alpha 90.00
_cell_angle_beta 90.00
_cell_angle_gamma 90.00
_space_group_name_H-M_alt 'P m m m'
_space_group_IT_number 47
loop_
_space_group_symop_operation_xyz
'x,y,z'
'-x,-y,-z'
'-x,-y,z'
'x,y,-z'
'x,-y,-z'
'-x,y,z'
'-x,y,-z'
'x,-y,z'
loop_
_atom_site_label
_atom_site_fract_x
_atom_site_fract_y
_atom_site_fract_z
_atom_site_occupancy
Li1 0.0000 0.0000 0.0000 1
Co1 0.0000 0.5000 0.5000 1
Co2 0.5000 0.0000 0.5000 1
Tc1 0.5000 0.5000 0.0000 1
```

VASP calculation (PBE-GGA) on an optimized crystal structure of LiCoTc.

Calculated values
**Energy above the most stable polymorph in this dataset**: 3.3 kJ per mole of atoms
**Energy relative to the elements**: 0.24 eV per atom
**Density of states at the Fermi level**: 0.88 states/eV per atom

Cell and atoms, written as CIF:
```
data_LiCoTc
_cell_length_a 2.7384
_cell_length_b 2.7384
_cell_length_c 9.8393
_cell_angle_alpha 90.00
_cell_angle_beta 90.00
_cell_angle_gamma 90.00
_space_group_name_H-M_alt 'I 4 m m'
_space_group_IT_number 107
_space_group_name_Hall 'I 4 -2'
loop_
_atom_site_label
_atom_site_fract_x
_atom_site_fract_y
_atom_site_fract_z
_atom_site_occupancy
Li1 0.0000 0.0000 0.0000 1
Co1 0.0000 0.0000 0.6554 1
Tc1 0.0000 0.0000 0.3090 1
```

VASP calculation (PBE-GGA) on an optimized crystal structure of Li2CoTc.

Calculated values
**Energy above the most stable polymorph in this dataset**: 47.5 kJ per mole of atoms
**Energy relative to the elements**: 0.66 eV per atom
**Density of states at the Fermi level**: 0.77 states/eV per atom

Cell and atoms, written as CIF:
```
data_Li2CoTc
_cell_length_a 5.8146
_cell_length_b 5.8146
_cell_length_c 5.8146
_cell_angle_alpha 90.00
_cell_angle_beta 90.00
_cell_angle_gamma 90.00
_space_group_name_H-M_alt 'F m -3 m'
_space_group_IT_number 225
_space_group_name_Hall '-F 4 2 3'
loop_
_atom_site_label
_atom_site_fract_x
_atom_site_fract_y
_atom_site_fract_z
_atom_site_occupancy
Li1 0.2500 0.2500 0.2500 1
Co1 0.0000 0.0000 0.0000 1
Tc1 0.0000 0.0000 0.5000 1
```

VASP calculation (PBE-GGA) on an optimized crystal structure of LiCo2Tc.

Calculated values
**Energy above the most stable polymorph in this dataset**: 0.5 kJ per mole of atoms
**Energy relative to the elements**: 0.18 eV per atom
**Density of states at the Fermi level**: 0.94 states/eV per atom

Cell and atoms, written as CIF:
```
data_LiCo2Tc
_cell_length_a 2.7041
_cell_length_b 2.7041
_cell_length_c 6.4246
_cell_angle_alpha 90.00
_cell_angle_beta 90.00
_cell_angle_gamma 90.00
_space_group_name_H-M_alt 'P 4/m m m'
_space_group_IT_number 123
_space_group_name_Hall '-P 4 2'
loop_
_atom_site_label
_atom_site_fract_x
_atom_site_fract_y
_atom_site_fract_z
_atom_site_occupancy
Li1 0.0000 0.0000 0.0000 1
Co1 0.5000 0.5000 0.2448 1
Tc1 0.0000 0.0000 0.5000 1
```

VASP calculation (PBE-GGA) on an optimized crystal structure of LiCo3Tc.

Calculated values
**Energy above the most stable polymorph in this dataset**: 0.0 kJ per mole of atoms
**Energy relative to the elements**: 0.94 eV per atom
**Density of states at the Fermi level**: 1.10 states/eV per atom

Cell and atoms, written as CIF:
```
data_LiCo3Tc
_cell_length_a 3.8539
_cell_length_b 3.8539
_cell_length_c 3.8539
_cell_angle_alpha 90.00
_cell_angle_beta 90.00
_cell_angle_gamma 90.00
_space_group_name_H-M_alt 'P m -3 m'
_space_group_IT_number 221
_space_group_name_Hall '-P 4 2 3'
loop_
_atom_site_label
_atom_site_fract_x
_atom_site_fract_y
_atom_site_fract_z
_atom_site_occupancy
Li1 0.0000 0.0000 0.0000 1
Co1 0.0000 0.0000 0.5000 1
Tc1 0.5000 0.5000 0.5000 1
```

VASP calculation (PBE-GGA) on an optimized crystal structure of LiCo2Tc.

Calculated values
**Energy above the most stable polymorph in this dataset**: 6.2 kJ per mole of atoms
**Energy relative to the elements**: 0.24 eV per atom
**Density of states at the Fermi level**: 1.18 states/eV per atom

Cell and atoms, written as CIF:
```
data_LiCo2Tc
_cell_length_a 5.0928
_cell_length_b 8.1294
_cell_length_c 2.4624
_cell_angle_alpha 90.00
_cell_angle_beta 105.40
_cell_angle_gamma 90.00
_space_group_name_H-M_alt 'C 1 2/m 1'
_space_group_IT_number 12
loop_
_space_group_symop_operation_xyz
'x,y,z'
'-x,-y,-z'
'-x,y,-z'
'x,-y,z'
'x+1/2,y+1/2,z'
'-x+1/2,-y+1/2,-z'
'-x+1/2,y+1/2,-z'
'x+1/2,-y+1/2,z'
loop_
_atom_site_label
_atom_site_fract_x
_atom_site_fract_y
_atom_site_fract_z
_atom_site_occupancy
Li1 0.0000 0.0000 0.0000 1
Co1 0.2500 0.2500 0.5000 1
Tc1 0.0000 0.5000 0.0000 1
```

VASP calculation (PBE-GGA) on an optimized crystal structure of Li2CoTc.

Calculated values
**Energy above the most stable polymorph in this dataset**: 17.7 kJ per mole of atoms
**Energy relative to the elements**: 0.35 eV per atom
**Density of states at the Fermi level**: 1.09 states/eV per atom

Cell and atoms, written as CIF:
```
data_Li2CoTc
_cell_length_a 3.3926
_cell_length_b 3.3926
_cell_length_c 8.9162
_cell_angle_alpha 90.00
_cell_angle_beta 90.00
_cell_angle_gamma 90.00
_space_group_name_H-M_alt 'I 4/m m m'
_space_group_IT_number 139
_space_group_name_Hall '-I 4 2'
loop_
_atom_site_label
_atom_site_fract_x
_atom_site_fract_y
_atom_site_fract_z
_atom_site_occupancy
Li1 0.0000 0.5000 0.2500 1
Co1 0.0000 0.0000 0.0000 1
Tc1 0.0000 0.0000 0.5000 1
```

VASP calculation (PBE-GGA) on an optimized crystal structure of LiCoTc.

Calculated values
**Energy above the most stable polymorph in this dataset**: 6.2 kJ per mole of atoms
**Energy relative to the elements**: 0.27 eV per atom
**Density of states at the Fermi level**: 1.00 states/eV per atom

Cell and atoms, written as CIF:
```
data_LiCoTc
_cell_length_a 2.8723
_cell_length_b 4.2201
_cell_length_c 13.2738
_cell_angle_alpha 90.00
_cell_angle_beta 90.00
_cell_angle_gamma 90.00
_space_group_name_H-M_alt 'F m m 2'
_space_group_IT_number 42
_space_group_name_Hall 'F 2 -2'
loop_
_atom_site_label
_atom_site_fract_x
_atom_site_fract_y
_atom_site_fract_z
_atom_site_occupancy
Li1 0.0000 0.0000 0.0000 1
Co1 0.0000 0.0000 0.3353 1
Tc1 0.0000 0.0000 0.6787 1
```

VASP calculation (PBE-GGA) on an optimized crystal structure of Li3CoTc.

Calculated values
**Energy above the most stable polymorph in this dataset**: 0.0 kJ per mole of atoms
**Energy relative to the elements**: 1.25 eV per atom
**Density of states at the Fermi level**: 1.00 states/eV per atom

Cell and atoms, written as CIF:
```
data_Li3CoTc
_cell_length_a 4.0823
_cell_length_b 4.0823
_cell_length_c 4.0823
_cell_angle_alpha 90.00
_cell_angle_beta 90.00
_cell_angle_gamma 90.00
_space_group_name_H-M_alt 'P m -3 m'
_space_group_IT_number 221
_space_group_name_Hall '-P 4 2 3'
loop_
_atom_site_label
_atom_site_fract_x
_atom_site_fract_y
_atom_site_fract_z
_atom_site_occupancy
Li1 0.0000 0.0000 0.5000 1
Co1 0.0000 0.0000 0.0000 1
Tc1 0.5000 0.5000 0.5000 1
```

VASP calculation (PBE-GGA) on an optimized crystal structure of Li2CoTc.

Calculated values
**Energy above the most stable polymorph in this dataset**: 6.0 kJ per mole of atoms
**Energy relative to the elements**: 0.23 eV per atom
**Density of states at the Fermi level**: 0.94 states/eV per atom

Cell and atoms, written as CIF:
```
data_Li2CoTc
_cell_length_a 2.4834
_cell_length_b 4.5775
_cell_length_c 4.5309
_cell_angle_alpha 90.00
_cell_angle_beta 94.04
_cell_angle_gamma 90.00
_space_group_name_H-M_alt 'P 1 2/m 1'
_space_group_IT_number 10
loop_
_space_group_symop_operation_xyz
'x,y,z'
'-x,-y,-z'
'-x,y,-z'
'x,-y,z'
loop_
_atom_site_label
_atom_site_fract_x
_atom_site_fract_y
_atom_site_fract_z
_atom_site_occupancy
Li1 0.1943 0.0000 0.2521 1
Co1 0.0000 0.5000 0.5000 1
Tc1 0.5000 0.5000 0.0000 1
```

VASP calculation (PBE-GGA) on an optimized crystal structure of Li2CoTc.

Calculated values
**Energy above the most stable polymorph in this dataset**: 4.4 kJ per mole of atoms
**Energy relative to the elements**: 0.22 eV per atom
**Density of states at the Fermi level**: 0.84 states/eV per atom

Cell and atoms, written as CIF:
```
data_Li2CoTc
_cell_length_a 8.2722
_cell_length_b 2.5285
_cell_length_c 5.0424
_cell_angle_alpha 90.00
_cell_angle_beta 95.23
_cell_angle_gamma 90.00
_space_group_name_H-M_alt 'C 1 m 1'
_space_group_IT_number 8
loop_
_space_group_symop_operation_xyz
'x,y,z'
'x,-y,z'
'x+1/2,y+1/2,z'
'x+1/2,-y+1/2,z'
loop_
_atom_site_label
_atom_site_fract_x
_atom_site_fract_y
_atom_site_fract_z
_atom_site_occupancy
Li1 0.0000 0.0000 0.0000 1
Li2 0.2428 0.0000 0.7918 1
Co1 0.2384 0.5000 0.3074 1
Tc1 0.4859 0.0000 0.4715 1
```

VASP calculation (PBE-GGA) on an optimized crystal structure of LiCo2Tc.

Calculated values
**Energy above the most stable polymorph in this dataset**: 6.8 kJ per mole of atoms
**Energy relative to the elements**: 0.25 eV per atom
**Density of states at the Fermi level**: 0.82 states/eV per atom

Cell and atoms, written as CIF:
```
data_LiCo2Tc
_cell_length_a 3.4756
_cell_length_b 3.4756
_cell_length_c 7.5695
_cell_angle_alpha 90.00
_cell_angle_beta 90.00
_cell_angle_gamma 90.00
_space_group_name_H-M_alt 'I -4 m 2'
_space_group_IT_number 119
_space_group_name_Hall 'I -4 -2'
loop_
_atom_site_label
_atom_site_fract_x
_atom_site_fract_y
_atom_site_fract_z
_atom_site_occupancy
Li1 0.0000 0.0000 0.0000 1
Co1 0.0000 0.0000 0.5000 1
Co2 0.0000 0.5000 0.2500 1
Tc1 0.0000 0.5000 0.7500 1
```

VASP calculation (PBE-GGA) on an optimized crystal structure of Li2CoTc.

Calculated values
**Energy above the most stable polymorph in this dataset**: 6.8 kJ per mole of atoms
**Energy relative to the elements**: 0.24 eV per atom
**Density of states at the Fermi level**: 0.68 states/eV per atom

Cell and atoms, written as CIF:
```
data_Li2CoTc
_cell_length_a 3.0286
_cell_length_b 3.9207
_cell_length_c 8.8954
_cell_angle_alpha 90.00
_cell_angle_beta 90.00
_cell_angle_gamma 90.00
_space_group_name_H-M_alt 'C m m m'
_space_group_IT_number 65
_space_group_name_Hall '-C 2 2'
loop_
_atom_site_label
_atom_site_fract_x
_atom_site_fract_y
_atom_site_fract_z
_atom_site_occupancy
Li1 0.0000 0.0000 0.2391 1
Co1 0.0000 0.5000 0.0000 1
Tc1 0.0000 0.5000 0.5000 1
```